Crystalline Tl2Ni3F8 at its relaxed geometry. Source: Alexandria, functional PBE+U.

Properties
volume	16.51	A^3/atom
total energy	-54.24	eV per formula unit

abc: 13.473 6.257 5.384
angles: 90.00 108.90 90.00
Space group C2/m (No. 12)
Symmetry-distinct sites (fractional):
Tl  0.213  0.000  0.173
Ni  0.000  0.246  0.500
Ni  0.000  0.500  0.000
F  0.082  0.500  0.400
F  0.083  0.276  0.884
F  0.091  0.000  0.458